one) Here is an optimized crystal structure of TbThPdPt from Alexandria. Energies are from PBE.

As for the density of states at the Fermi level: 0.911 states/eV per atom.

The structure belongs to space group F-43m (No. 216); the cell edges are 7.1592, 7.1592 and 7.1592 Å and the angles 90.00°, 90.00° and 90.00°. The asymmetric unit holds Tb at (0.0000, 0.0000, 0.0000), Th at (0.0000, 0.0000, 0.5000), Pd at (0.2500, 0.2500, 0.7500) and Pt at (0.2500, 0.2500, 0.2500).

two) Here is an optimized crystal structure of TbThPdPt from Alexandria. Energies are from PBE.

As for the density of states at the Fermi level: 0.838 states/eV per atom.

The structure belongs to space group Amm2 (No. 38); the cell edges are 4.4866, 3.8220 and 11.0506 Å and the angles 90.00°, 90.00° and 90.00°. The asymmetric unit holds Tb at (0.0000, 0.0000, 0.0000), Th at (0.5000, 0.0000, 0.2744), Pd at (0.5000, 0.0000, 0.5483) and Pt at (0.0000, 0.0000, 0.7323).

What is the stability order? It is two), one), from most stable to least stable.

one) Here is an optimized crystal structure of TbTmPdPt from Alexandria. Energies are from PBE.

As for the density of states at the Fermi level: 0.824 states/eV per atom.

The structure belongs to space group F-43m (No. 216); the cell edges are 6.9725, 6.9725 and 6.9725 Å and the angles 90.00°, 90.00° and 90.00°. The asymmetric unit holds Tb at (0.0000, 0.0000, 0.0000), Tm at (0.0000, 0.0000, 0.5000), Pd at (0.2500, 0.2500, 0.2500) and Pt at (0.2500, 0.2500, 0.7500).

two) Here is an optimized crystal structure of TbTmPdPt from Alexandria. Energies are from PBE.

As for the density of states at the Fermi level: 0.755 states/eV per atom.

The structure belongs to space group Amm2 (No. 38); the cell edges are 4.5018, 3.7463 and 10.4630 Å and the angles 90.00°, 90.00° and 90.00°. The asymmetric unit holds Tb at (0.0000, 0.0000, 0.0000), Tm at (0.5000, 0.0000, 0.2752), Pd at (0.0000, 0.0000, 0.7262) and Pt at (0.5000, 0.0000, 0.5517).

What is the stability order? It is two), one), from most stable to least stable.